Here is Cu2Si2Ni after structural relaxation from Alexandria via LeMat-Bulk. Energies are from PBE.

a b c (Å): 6.868 6.868 2.720
angles (deg): 90.00 90.00 90.00
Fractional positions:
1 Cu 0.125 0.375 0.000
2 Cu 0.375 0.875 0.000
3 Cu 0.625 0.125 0.000
4 Cu 0.875 0.625 0.000
5 Si 0.178 0.678 0.500
6 Si 0.322 0.178 0.500
7 Si 0.678 0.822 0.500
8 Si 0.822 0.322 0.500
9 Ni 0.000 0.000 0.000
10 Ni 0.500 0.500 0.000

Calculated values
space-group type = P4/mbm (127)
DOS(E_F) = 5.06 states/eV per cell
raw formation energy = 0.19 eV per atom